The following is a PBEsol calculation of MgNi2Ag after structural relaxation, from the Alexandria database. Values from VASP.

Summary:
formation energy from the elements = 0.024 eV per atom
calculated volume = 106.1 Å³ per cell
magnetic moment = 0.0 μB/f.u.
symmetry = No. 119

```
&SYSTEM
  ibrav = 0, nat = 8, ntyp = 3
/
ATOMIC_SPECIES
Mg 24.30 Mg.upf
Ni 58.69 Ni.upf
Ag 107.87 Ag.upf
ATOMIC_POSITIONS angstrom
Mg 0.000 0.000 0.000
Mg 1.898 1.898 3.681
Ni 0.000 0.000 3.681
Ni 0.000 1.898 1.841
Ni 1.898 0.000 5.522
Ni 1.898 1.898 0.000
Ag 0.000 1.898 5.522
Ag 1.898 0.000 1.841
CELL_PARAMETERS angstrom
3.796 0.000 0.000
0.000 3.796 0.000
0.000 0.000 7.362
```

---

The following is a PBEsol calculation of MgNi2Ag after structural relaxation, from the Alexandria database. Values from VASP.

Summary:
formation energy from the elements = 0.063 eV per atom
calculated volume = 53.3 Å³ per cell
magnetic moment = 0.0 μB/f.u.
symmetry = No. 47

```
&SYSTEM
  ibrav = 0, nat = 4, ntyp = 3
/
ATOMIC_SPECIES
Mg 24.30 Mg.upf
Ni 58.69 Ni.upf
Ag 107.87 Ag.upf
ATOMIC_POSITIONS angstrom
Mg 0.000 0.000 0.000
Ni 1.375 1.800 1.331
Ni 1.375 1.800 4.055
Ag 0.000 0.000 2.693
CELL_PARAMETERS angstrom
2.751 0.000 0.000
0.000 3.600 0.000
0.000 0.000 5.386
```

---

The following is a PBEsol calculation of MgAg2O4 after structural relaxation, from the Alexandria database. Values from VASP.

Summary:
distance to the lowest polymorph of the same formula = 51 meV/atom
formation energy from raw total energies = -0.704 eV/atom
calculated volume = 186.8 Å³ per cell
magnetic moment = 0.0 μB/f.u.
symmetry = No. 141

```
&SYSTEM
  ibrav = 0, nat = 14, ntyp = 3
/
ATOMIC_SPECIES
Mg 24.30 Mg.upf
Ag 107.87 Ag.upf
O 16.00 O.upf
ATOMIC_POSITIONS angstrom
Mg 2.911 1.455 1.378
Mg 0.000 1.455 4.135
Ag 0.000 0.000 0.000
Ag 1.455 1.455 -2.757
Ag 1.455 -1.455 2.757
Ag 0.000 2.911 0.000
O 2.911 -0.105 2.606
O 2.911 2.806 -2.606
O 1.350 1.455 0.151
O 1.560 -1.455 5.664
O 1.350 4.366 -0.151
O 1.560 1.455 5.363
O 0.000 0.105 8.120
O 0.000 3.016 2.907
CELL_PARAMETERS angstrom
-2.911 2.911 5.514
2.911 -2.911 5.514
2.911 2.911 -5.514
```